A relaxed AcSc4Cr3O12 crystal. Source: Alexandria via LeMat-Bulk, functional PBE with a Hubbard U.

Cell lengths 6.785, 6.785, 6.785 Å; angles 109.47, 109.47, 109.47 degrees
Site moments in Bohr magnetons follow the coordinates.
Element x y z (fractional)
O 0.167 0.855 0.688  -0.03
O 0.479 0.312 0.167  -0.03
O 0.167 0.479 0.312  -0.03
O 0.521 0.688 0.833  -0.03
O 0.688 0.167 0.855  -0.03
Sc 0.000 0.500 0.000  0.01
Cr 0.000 0.500 0.500  3.02
Cr 0.500 0.000 0.500  3.02
O 0.833 0.145 0.312  -0.03
O 0.855 0.688 0.167  -0.03
Sc 0.500 0.500 0.500  0.01
O 0.312 0.833 0.145  -0.03
O 0.145 0.312 0.833  -0.03
Cr 0.500 0.500 0.000  3.02
O 0.833 0.521 0.688  -0.03
Sc 0.000 0.000 0.500  0.01
Sc 0.500 0.000 0.000  0.01
Ac 0.000 0.000 0.000  0.00
O 0.688 0.833 0.521  -0.03
O 0.312 0.167 0.479  -0.03

## Properties
- crystal system = cubic
- final energy (eV per atom) = -8.312
- magnetic moment (μB/cell) = 9.00